{
  "formula": "Ac4PbAu",
  "functional": "PBE",
  "state": "relaxed",
  "lattice": [[7.7814, 0.0000, 0.0000], [0.0000, 7.7814, 0.0000], [-0.0086, 0.0000, 8.0334]],
  "species": ["Ac", "Ac", "Ac", "Ac", "Ac", "Ac", "Ac", "Ac", "Pb", "Pb", "Au", "Au"],
  "fractional_positions": [[0.2497, 0.2498, 0.2323], [0.2503, 0.2502, 0.7677], [0.2497, 0.7502, 0.2323], [0.2503, 0.7498, 0.7677], [0.7497, 0.2502, 0.2323], [0.7503, 0.2498, 0.7677], [0.7497, 0.7498, 0.2323], [0.7503, 0.7502, 0.7677], [0.0000, 0.0000, 0.5000], [0.5000, 0.5000, 0.5000], [0.0000, 0.5000, 0.0000], [0.5000, 0.0000, 0.0000]],
  "final_energy_ev_per_atom": -4.1984,
  "magnetic_moment_mub_per_fu": 0.0,
  "formation_energy_ev_per_atom": -0.295
}